Record 1
RbCo2RhF8 after structural relaxation, computed with GGA+U.

a b c (Å): 5.1430 5.1803 7.2775
angles (deg): 77.44 77.72 76.75
With the nearest neighbours (Å) after each atom.
Fractional positions:
Rb (0.0000, 0.0000, 0.5000)  6 F 2.72-2.82
Co (0.4438, 0.4446, 0.7347)  5 F 1.98-2.12
Co (0.5562, 0.5554, 0.2653)  5 F 1.98-2.12
Rh (0.0000, 0.0000, 0.0000)  6 F 2.00-2.03
F (0.1854, 0.7295, 0.2016)  1 Co 2.02, 1 Rh 2.03
F (0.7449, 0.7486, 0.0270)  1 Co 1.98, 1 Rh 2.00
F (0.7308, 0.1891, 0.1988)  1 Co 2.02, 1 Rh 2.03
F (0.8146, 0.2705, 0.7984)  1 Co 2.02, 1 Rh 2.03
F (0.2551, 0.2514, 0.9730)  1 Co 1.98, 1 Rh 2.00
F (0.2692, 0.8109, 0.8012)  1 Co 2.02, 1 Rh 2.03
F (0.6511, 0.6586, 0.4856)  2 Co 1.98-2.12
F (0.3489, 0.3414, 0.5144)  2 Co 1.98-2.12



Record 2
Rb2Co3RhF12 after structural relaxation, computed with GGA+U.

a b c (Å): 7.4165 7.4165 7.4165
angles (deg): 59.45 59.45 59.45
With the nearest neighbours (Å) after each atom.
Fractional positions:
Rb (0.6190, 0.6190, 0.6190)  6 F 3.11-3.17
Rb (0.3810, 0.3810, 0.3810)  6 F 3.11-3.17
Co (0.5000, 0.0000, 0.0000)  6 F 1.98-2.04
Co (0.0000, 0.5000, 0.0000)  6 F 1.98-2.04
Co (0.0000, 0.0000, 0.5000)  6 F 1.98-2.04
Rh (0.0000, 0.0000, 0.0000)  6 F 2.00
F (0.3214, 0.3214, 0.9292)  2 Co 1.98
F (0.9226, 0.9226, 0.3258)  1 Rh 2.00, 1 Co 2.04
F (0.3258, 0.9226, 0.9226)  1 Rh 2.00, 1 Co 2.04
F (0.9292, 0.3214, 0.3214)  2 Co 1.98
F (0.9226, 0.3258, 0.9226)  1 Rh 2.00, 1 Co 2.04
F (0.3214, 0.9292, 0.3214)  2 Co 1.98
F (0.6786, 0.6786, 0.0708)  2 Co 1.98
F (0.0774, 0.0774, 0.6742)  1 Rh 2.00, 1 Co 2.04
F (0.6742, 0.0774, 0.0774)  1 Rh 2.00, 1 Co 2.04
F (0.0708, 0.6786, 0.6786)  2 Co 1.98
F (0.0774, 0.6742, 0.0774)  1 Rh 2.00, 1 Co 2.04
F (0.6786, 0.0708, 0.6786)  2 Co 1.98

Summary:
D(E_F): 11.62 states/eV/cell



Looking at total moment for the records above, in order, we have 0.510 0.564 μB per atom.
Looking at electronic total energy for the records above, in order, we have -0.176 -0.175 hartree per atom.